1.
VASP calculation (PBE) on a relaxed structure of ScGeOs.

abc: 4.372 4.372 6.071
angles: 90.00 90.00 120.00
Element x y z (fractional)
Sc 0.000 0.000 0.000
Sc 0.000 0.000 0.500
Ge 0.333 0.667 0.223
Ge 0.667 0.333 0.723
Os 0.333 0.667 0.785
Os 0.667 0.333 0.285

Output
- V: 100.5 Å³/cell
- E: -23.495 eV per formula unit

2.
VASP calculation (PBE) on a relaxed structure of CsTaAsO.

abc: 3.597 7.716 7.833
angles: 90.00 90.00 90.00
Element x y z (fractional)
Cs 0.000 0.186 0.000
Cs 0.000 0.814 0.500
Ta 0.500 0.316 0.438
Ta 0.500 0.684 0.938
As 0.500 0.467 0.713
As 0.500 0.533 0.213
O 0.000 0.208 0.416
O 0.000 0.792 0.916

Output
- V: 217.4 Å³/cell
- E: -26.066 eV per formula unit
- Excess energy over the best structure of this formula in the dataset: 113.2 meV per atom

3.
VASP calculation (PBE) on a relaxed structure of Tl2Co6B.

abc: 6.883 6.883 2.954
angles: 90.00 90.00 120.00
Element x y z (fractional)
Tl 0.333 0.667 0.000
Tl 0.667 0.333 0.000
Co 0.000 0.212 0.000
Co 0.000 0.674 0.500
Co 0.212 0.000 0.000
Co 0.326 0.326 0.500
Co 0.674 0.000 0.500
Co 0.788 0.788 0.000
B 0.000 0.000 0.500

Output
- V: 121.2 Å³/cell
- E: -51.285 eV per formula unit

4.
VASP calculation (PBE) on a relaxed structure of KZrTe3Au.

abc: 11.582 4.185 15.689
angles: 90.00 90.00 90.00
Element x y z (fractional)
K 0.221 0.250 0.010
K 0.279 0.750 0.510
K 0.721 0.250 0.490
K 0.779 0.750 0.990
Zr 0.056 0.750 0.748
Zr 0.444 0.250 0.248
Zr 0.556 0.750 0.752
Zr 0.944 0.250 0.252
Te 0.027 0.750 0.133
Te 0.053 0.250 0.614
Te 0.221 0.250 0.322
Te 0.279 0.750 0.822
Te 0.447 0.750 0.114
Te 0.473 0.250 0.633
Te 0.527 0.750 0.367
Te 0.553 0.250 0.886
Te 0.721 0.250 0.178
Te 0.779 0.750 0.678
Te 0.947 0.750 0.386
Te 0.973 0.250 0.867
Au 0.248 0.750 0.203
Au 0.252 0.250 0.703
Au 0.748 0.750 0.297
Au 0.752 0.250 0.797

Output
- V: 760.3 Å³/cell
- E: -26.990 eV per formula unit

5.
VASP calculation (PBE) on a relaxed structure of ScNb3Sn2C2.

abc: 3.273 3.273 14.172
angles: 90.00 90.00 120.00
Element x y z (fractional)
Sc 0.000 0.000 0.000
Nb 0.000 0.000 0.338
Nb 0.333 0.667 0.501
Nb 0.333 0.667 0.829
Sn 0.000 0.000 0.665
Sn 0.333 0.667 0.174
C 0.667 0.333 0.420
C 0.667 0.333 0.912

Output
- V: 131.5 Å³/cell
- E: -67.134 eV per formula unit

6.
VASP calculation (PBE) on a relaxed structure of TcGePb.

abc: 4.541 4.541 4.541
angles: 60.00 60.00 60.00
Element x y z (fractional)
Tc 0.000 0.000 0.000
Ge 0.750 0.750 0.750
Pb 0.250 0.250 0.250

Output
- V: 66.2 Å³/cell
- E: -17.025 eV per formula unit
- Excess energy over the best structure of this formula in the dataset: 0.0 meV per atom

7.
VASP calculation (PBE) on a relaxed structure of PuFePb.

abc: 4.783 4.783 4.783
angles: 60.00 60.00 60.00
Element x y z (fractional)
Pu 0.000 0.000 0.000
Fe 0.500 0.500 0.500
Pb 0.750 0.750 0.750

Output
- V: 77.4 Å³/cell
- E: -21.050 eV per formula unit

8.
VASP calculation (PBE) on a relaxed structure of TbYNb.

abc: 5.077 5.077 5.077
angles: 60.00 60.00 60.00
Element x y z (fractional)
Tb 0.000 0.000 0.000
Y 0.500 0.500 0.500
Nb 0.250 0.250 0.250

Output
- V: 92.5 Å³/cell
- E: -18.761 eV per formula unit
- Excess energy over the best structure of this formula in the dataset: 0.0 meV per atom
- Energy relative to the elements: 0.809 eV/atom

9.
VASP calculation (PBE) on a relaxed structure of BeCdNO.

abc: 3.792 3.792 6.336
angles: 90.00 90.00 90.00
Element x y z (fractional)
Be 0.250 0.250 0.051
Be 0.750 0.750 0.949
Cd 0.250 0.750 0.500
Cd 0.750 0.250 0.500
N 0.250 0.250 0.314
N 0.750 0.750 0.686
O 0.250 0.750 0.000
O 0.750 0.250 0.000

Output
- V: 91.1 Å³/cell
- E: -18.654 eV per formula unit
- Excess energy over the best structure of this formula in the dataset: 538.7 meV per atom

10.
VASP calculation (PBE) on a relaxed structure of HfCd2Bi2.

abc: 7.578 7.578 7.578
angles: 145.32 145.32 49.86
Element x y z (fractional)
Hf 0.000 0.000 0.000
Cd 0.406 0.406 0.000
Cd 0.594 0.594 0.000
Bi 0.250 0.750 0.500
Bi 0.750 0.250 0.500

Output
- V: 140.2 Å³/cell
- E: -17.015 eV per formula unit
- Excess energy over the best structure of this formula in the dataset: 112.7 meV per atom

11.
VASP calculation (PBE) on a relaxed structure of BaHoSn2.

abc: 3.490 7.206 7.206
angles: 54.25 90.00 90.00
Element x y z (fractional)
Ba 0.000 0.000 0.000
Ho 0.000 0.282 0.282
Sn 0.000 0.512 0.512
Sn 0.000 0.734 0.734

Output
- V: 147.1 Å³/cell
- E: -14.139 eV per formula unit

12.
VASP calculation (PBE) on a relaxed structure of CdFeB4.

abc: 4.760 4.760 4.760
angles: 143.00 112.86 79.22
Element x y z (fractional)
Cd 0.000 0.000 0.000
Fe 0.500 0.500 0.000
B 0.094 0.758 0.336
B 0.423 0.758 0.664
B 0.577 0.242 0.336
B 0.906 0.242 0.664

Output
- V: 58.3 Å³/cell
- E: -33.530 eV per formula unit
- Excess energy over the best structure of this formula in the dataset: 144.1 meV per atom

> Which of these has the lowest V?

CdFeB4

> The lowest E belongs to which entry?

ScNb3Sn2C2

What did the tenth record say?
VASP calculation (PBE) on a relaxed structure of HfCd2Bi2.

abc: 7.578 7.578 7.578
angles: 145.32 145.32 49.86
Element x y z (fractional)
Hf 0.000 0.000 0.000
Cd 0.406 0.406 0.000
Cd 0.594 0.594 0.000
Bi 0.250 0.750 0.500
Bi 0.750 0.250 0.500

Output
- V: 140.2 Å³/cell
- E: -17.015 eV per formula unit
- Excess energy over the best structure of this formula in the dataset: 112.7 meV per atom

> Among the records above, which one has the highest E?

BaHoSn2